No. 1
Rb2Au7 (PBE-GGA, relaxed); space group = R-3m; energy relative to the elements = -189 meV/atom; total magnetic moment = 0.0 μB/f.u.; density of states at the Fermi level = 3.1 states/eV/cell
1.0
2.939 1.697 14.129
-2.939 1.697 14.129
0.000 -3.394 14.129
Rb Au
4 14
Direct
0.053 0.053 0.053
0.150 0.150 0.150
0.850 0.850 0.850
0.947 0.947 0.947
0.000 0.500 0.500
0.109 0.608 0.608
0.279 0.279 0.279
0.387 0.387 0.387
0.392 0.392 0.891
0.392 0.891 0.392
0.500 0.000 0.500
0.500 0.500 0.000
0.500 0.500 0.500
0.608 0.109 0.608
0.608 0.608 0.109
0.613 0.613 0.613
0.721 0.721 0.721
0.891 0.392 0.392

---

No. 2
CsNi3Se (PBE-GGA, relaxed); space group = Pm-3m; raw formation energy = 0.460 eV/atom; relative energy among the computed polymorphs = 0.0 kJ/mol of atoms; total magnetic moment = 1.0 μB/f.u.; density of states at the Fermi level = 7.5 states/eV/cell
1.0
4.653 0.000 0.000
0.000 4.653 0.000
0.000 0.000 4.653
Cs Ni Se
1 3 1
Direct
0.000 0.000 0.000
0.000 0.500 0.500
0.500 0.000 0.500
0.500 0.500 0.000
0.500 0.500 0.500

---

Repeat the second record exactly.
CsNi3Se (PBE-GGA, relaxed); space group = Pm-3m; raw formation energy = 0.460 eV/atom; relative energy among the computed polymorphs = 0.0 kJ/mol of atoms; total magnetic moment = 1.0 μB/f.u.; density of states at the Fermi level = 7.5 states/eV/cell
1.0
4.653 0.000 0.000
0.000 4.653 0.000
0.000 0.000 4.653
Cs Ni Se
1 3 1
Direct
0.000 0.000 0.000
0.000 0.500 0.500
0.500 0.000 0.500
0.500 0.500 0.000
0.500 0.500 0.500

---

> Which value of total magnetic moment does entry 2 give?

1.0 μB/f.u.